This record from Alexandria via LeMat-Bulk describes NpTiP3 after structural relaxation. The functional is PBE.

Results
Symmetry ... Pbcm
Energy of formation from the pure elements ... -730 meV per atom
Uncorrected energy ... -8.143 eV/atom

abc: 5.5442 5.2032 11.9655
angles: 90.00 90.00 90.00
Last column: nearest neighbours and their distance in Å.
Positions (direct):
Np1 0.7500 0.9978 0.3197  9 P 2.80-2.99
Np2 0.2500 0.5022 0.3197  9 P 2.80-2.99
Np3 0.2500 0.0022 0.6803  9 P 2.80-2.99
Np4 0.7500 0.4978 0.6803  9 P 2.80-2.99
P1 0.2500 0.1392 0.9145  4 Ti 2.45-2.49, 1 P 2.51
P2 0.7500 0.3608 0.9145  4 Ti 2.45-2.49, 1 P 2.51
P3 0.2500 0.4966 0.7731  1 P 2.51, 2 Ti 2.59, 1 Np 2.80
P4 0.0000 0.2500 0.4995  4 P 2.60-2.77, 4 Np 2.87-2.88
P5 0.2500 0.9966 0.2269  1 P 2.51, 2 Ti 2.59, 1 Np 2.80
P6 0.7500 0.8608 0.0855  4 Ti 2.45-2.49, 1 P 2.51
P7 0.7500 0.0034 0.7731  1 P 2.51, 2 Ti 2.59, 1 Np 2.80
P8 0.0000 0.7500 0.5005  4 P 2.60-2.77, 4 Np 2.87-2.88
P9 0.2500 0.6392 0.0855  4 Ti 2.45-2.49, 1 P 2.51
P10 0.7500 0.5034 0.2269  1 P 2.51, 2 Ti 2.59, 1 Np 2.80
P11 0.5000 0.2500 0.4995  4 P 2.60-2.77, 4 Np 2.87-2.88
P12 0.5000 0.7500 0.5005  4 P 2.60-2.77, 4 Np 2.87-2.88
Ti1 0.0000 0.2500 0.0804  6 P 2.45-2.59
Ti2 0.5000 0.7500 0.9196  6 P 2.45-2.59
Ti3 0.5000 0.2500 0.0804  6 P 2.45-2.59
Ti4 0.0000 0.7500 0.9196  6 P 2.45-2.59



This record from Alexandria via LeMat-Bulk describes Np3TiP4 after structural relaxation. The functional is PBE.

Results
Symmetry ... P2/c
Energy of formation from the pure elements ... -904 meV per atom
Uncorrected energy ... -9.449 eV/atom

abc: 6.6378 6.6924 7.6926
angles: 90.00 90.00 109.64
Last column: nearest neighbours and their distance in Å.
Positions (direct):
Np1 0.7500 0.0000 0.3714  6 P 2.70-2.74
Np2 0.2500 0.5000 0.3703  6 P 2.74-2.85
Np3 0.7500 0.5000 0.1220  6 P 2.71-2.82
Np4 0.2500 0.0000 0.6286  6 P 2.70-2.74
Np5 0.2500 0.5000 0.8780  6 P 2.71-2.82
Np6 0.7500 0.5000 0.6297  6 P 2.74-2.85
P1 0.5094 0.7614 0.6348  1 Ti 2.62, 5 Np 2.71-2.85
P2 0.4978 0.2303 0.8854  2 Ti 2.59-2.63, 4 Np 2.70-2.82
P3 0.0094 0.7614 0.3652  1 Ti 2.62, 5 Np 2.71-2.85
P4 0.9906 0.2386 0.6348  1 Ti 2.62, 5 Np 2.71-2.85
P5 0.4906 0.2386 0.3652  1 Ti 2.62, 5 Np 2.71-2.85
P6 0.0022 0.7697 0.8854  2 Ti 2.59-2.63, 4 Np 2.70-2.82
P7 0.9978 0.2303 0.1146  2 Ti 2.59-2.63, 4 Np 2.70-2.82
P8 0.5022 0.7697 0.1146  2 Ti 2.59-2.63, 4 Np 2.70-2.82
Ti1 0.2500 0.0000 0.1219  6 P 2.59-2.63
Ti2 0.7500 0.0000 0.8781  6 P 2.59-2.63



This record from Alexandria via LeMat-Bulk describes NpTiP after structural relaxation. The functional is PBE.

Results
Symmetry ... P2_13
Energy of formation from the pure elements ... -253 meV per atom
Uncorrected energy ... -9.002 eV/atom

abc: 6.3077 6.3077 6.3077
angles: 90.00 90.00 90.00
Last column: nearest neighbours and their distance in Å.
Positions (direct):
Np1 0.0522 0.9478 0.4478  4 P 2.79-2.90
Np2 0.9478 0.4478 0.0522  4 P 2.79-2.90
Np3 0.5522 0.5522 0.5522  4 P 2.79-2.90
Np4 0.4478 0.0522 0.9478  4 P 2.79-2.90
Ti1 0.0417 0.4583 0.5417  3 P 2.48
Ti2 0.4583 0.5417 0.0417  3 P 2.48
Ti3 0.5417 0.0417 0.4583  3 P 2.48
Ti4 0.9583 0.9583 0.9583  3 P 2.48
P1 0.7136 0.7864 0.2136  3 Ti 2.48
P2 0.7864 0.2136 0.7136  3 Ti 2.48
P3 0.2136 0.7136 0.7864  3 Ti 2.48
P4 0.2864 0.2864 0.2864  3 Ti 2.48



This record from Alexandria via LeMat-Bulk describes NpU2TiP4 after structural relaxation. The functional is PBE.

Results
Symmetry ... P2/m
Energy of formation from the pure elements ... -964 meV per atom
Uncorrected energy ... -9.095 eV/atom

abc: 3.8533 6.6440 6.6119
angles: 109.47 90.00 90.00
Last column: nearest neighbours and their distance in Å.
Positions (direct):
P1 0.0000 0.7613 0.2385  1 Ti 2.58, 2 Np 2.72, 3 U 2.72-2.83
P2 0.0000 0.2387 0.7615  1 Ti 2.58, 2 Np 2.72, 3 U 2.72-2.83
P3 0.5000 0.2316 0.2324  2 Ti 2.62, 3 U 2.70-2.81, 1 Np 2.71
P4 0.5000 0.7684 0.7676  2 Ti 2.62, 3 U 2.70-2.81, 1 Np 2.71
Ti1 0.0000 0.0000 0.0000  6 P 2.58-2.62
U1 0.5000 0.0000 0.5000  6 P 2.70-2.72
U2 0.0000 0.5000 0.5000  6 P 2.81-2.83
Np1 0.5000 0.5000 0.0000  6 P 2.71-2.72